(1)
Compound: CrCu3Se
Source: Alexandria
Functional: PBE
Structure: relaxed

Summary:
As for the crystal system: cubic. As for the polymorph energy (0 for the lowest one): 0 meV/atom.

Unit cell a=4.566 b=4.566 c=4.566 alpha=90.00 beta=90.00 gamma=90.00
Positions (direct):
Cr  0.500  0.500  0.500
Cu  0.000  0.500  0.000
Cu  0.000  0.000  0.500
Cu  0.500  0.000  0.000
Se  0.000  0.000  0.000

---

(2)
Compound: CrCu4Se
Source: Alexandria
Functional: PBE
Structure: relaxed

Summary:
As for the crystal system: cubic.

Unit cell a=4.940 b=4.940 c=4.940 alpha=60.00 beta=60.00 gamma=60.00
Positions (direct):
Cr  0.000  0.000  0.000
Cu  0.626  0.626  0.123
Cu  0.626  0.123  0.626
Cu  0.626  0.626  0.626
Cu  0.123  0.626  0.626
Se  0.250  0.250  0.250

---

(3)
Compound: CrCu2Se4
Source: Alexandria
Functional: PBE
Structure: relaxed

Summary:
As for the crystal system: tetragonal. As for the polymorph energy (0 for the lowest one): 420 meV/atom.

Unit cell a=4.952 b=4.952 c=6.879 alpha=68.90 beta=68.90 gamma=90.00
Positions (direct):
Cr  0.000  0.000  0.000
Cu  0.599  0.599  0.802
Cu  0.401  0.401  0.198
Se  0.793  0.793  0.415
Se  0.207  0.207  0.585
Se  0.000  0.500  0.000
Se  0.500  0.000  0.000

---

(4)
Compound: CrCu2Se4
Source: Alexandria
Functional: PBE
Structure: relaxed

Summary:
As for the crystal system: orthorhombic. As for the polymorph energy (0 for the lowest one): 0 meV/atom.

Unit cell a=7.260 b=7.336 c=7.336 alpha=60.71 beta=60.35 gamma=60.35
Positions (direct):
Cr  0.000  0.500  0.000
Cr  0.500  0.500  0.000
Se  0.251  0.268  0.229
Se  0.251  0.729  0.768
Se  0.258  0.260  0.760
Se  0.722  0.260  0.760
Se  0.278  0.740  0.240
Se  0.749  0.271  0.232
Se  0.742  0.740  0.240
Se  0.749  0.732  0.771
Cu  0.123  0.127  0.627
Cu  0.500  0.000  0.000
Cu  0.500  0.500  0.500
Cu  0.877  0.873  0.373

---

(5)
Compound: CrCu2Se
Source: Alexandria
Functional: PBE
Structure: relaxed

Summary:
As for the crystal system: trigonal.

Unit cell a=8.116 b=8.116 c=8.116 alpha=20.71 beta=20.71 gamma=20.71
Positions (direct):
Cr  0.752  0.752  0.752
Cu  0.003  0.003  0.003
Cu  0.258  0.258  0.258
Se  0.488  0.488  0.488

---

(6)
Compound: CrCu2Se
Source: Alexandria
Functional: PBE
Structure: relaxed

Summary:
As for the crystal system: tetragonal.

Unit cell a=7.189 b=7.189 c=5.644 alpha=50.44 beta=50.44 gamma=90.00
Positions (direct):
Cr  0.500  0.500  0.000
Cr  0.250  0.750  0.500
Cu  0.653  0.125  0.250
Cu  0.097  0.625  0.250
Cu  0.375  0.347  0.750
Cu  0.875  0.903  0.750
Se  0.000  0.000  0.000
Se  0.750  0.250  0.500

---

(7)
Compound: Cr2CuSe
Source: Alexandria
Functional: PBE
Structure: relaxed

Summary:
As for the crystal system: orthorhombic.

Unit cell a=5.182 b=5.182 c=3.740 alpha=90.00 beta=90.00 gamma=39.64
Positions (direct):
Cr  0.025  0.025  0.125
Cr  0.725  0.725  0.625
Cu  0.464  0.464  0.625
Se  0.285  0.285  0.125

---

(8)
Compound: CrCuSe
Source: Alexandria
Functional: PBE
Structure: relaxed

Summary:
As for the crystal system: trigonal. As for the polymorph energy (0 for the lowest one): 177 meV/atom.

Unit cell a=3.365 b=3.365 c=5.268 alpha=90.00 beta=90.00 gamma=120.00
Positions (direct):
Cr  0.000  0.000  0.984
Cu  0.333  0.667  0.317
Se  0.667  0.333  0.699

---

(9)
Compound: CrCu2Se
Source: Alexandria
Functional: PBE
Structure: relaxed

Summary:
As for the crystal system: tetragonal.

Unit cell a=3.129 b=3.129 c=5.611 alpha=90.00 beta=90.00 gamma=90.00
Positions (direct):
Cr  0.500  0.500  0.738
Cu  0.000  0.000  0.012
Cu  0.500  0.500  0.213
Se  0.000  0.000  0.536

---

(10)
Compound: Cr2CuSe
Source: Alexandria
Functional: PBE
Structure: relaxed

Summary:
As for the crystal system: orthorhombic.

Unit cell a=4.818 b=4.818 c=4.818 alpha=142.77 beta=127.94 gamma=65.73
Positions (direct):
Cr  0.019  0.019  0.000
Cr  0.481  0.481  0.000
Cu  0.750  0.250  0.500
Se  0.250  0.750  0.500

---

(11)
Compound: CrCu2Se
Source: Alexandria
Functional: PBE
Structure: relaxed

Summary:
As for the crystal system: orthorhombic.

Unit cell a=4.839 b=4.839 c=3.949 alpha=90.02 beta=90.02 gamma=41.31
Positions (direct):
Cr  0.276  0.276  0.375
Cu  0.970  0.970  0.875
Cu  0.705  0.705  0.875
Se  0.549  0.549  0.375

---

(12)
Compound: CrCu2Se
Source: Alexandria
Functional: PBE
Structure: relaxed

Summary:
As for the crystal system: monoclinic.

Unit cell a=3.256 b=3.293 c=5.996 alpha=73.47 beta=90.00 gamma=90.00
Positions (direct):
Cr  0.500  0.693  0.742
Cu  0.000  0.055  0.012
Cu  0.500  0.462  0.193
Se  0.000  0.290  0.553

---

Number 1: formation energy (no corrections) 786 meV per atom, total magnetization 5.02 μB/cell. Number 2: formation energy (no corrections) 210 meV per atom, total magnetization 4.02 μB/cell. Number 3: formation energy (no corrections) 168 meV per atom, total magnetization 1.85 μB/cell. Number 4: formation energy (no corrections) -252 meV per atom, total magnetization 3.87 μB/cell. Number 5: formation energy (no corrections) 281 meV per atom, total magnetization 0.38 μB/cell. Number 6: formation energy (no corrections) 323 meV per atom, total magnetization 7.02 μB/cell. Number 7: formation energy (no corrections) 336 meV per atom, total magnetization 7.49 μB/cell. Number 8: formation energy (no corrections) 174 meV per atom, total magnetization 3.00 μB/cell. Number 9: formation energy (no corrections) 149 meV per atom, total magnetization 1.38 μB/cell. Number 10: formation energy (no corrections) 442 meV per atom, total magnetization 1.75 μB/cell. Number 11: formation energy (no corrections) 201 meV per atom, total magnetization 3.50 μB/cell. Number 12: formation energy (no corrections) 116 meV per atom, total magnetization 3.34 μB/cell.